Below is a relaxed NiHg2O2 crystal, with properties calculated at the GGA+U level.

- Crystal system: tetragonal
- DFT total energy: -2.66 eV per atom
- Distance to the lowest polymorph of the same formula: 0.0000 eV per atom

Structure (CIF):
```
data_NiHg2O2
_cell_length_a 5.867
_cell_length_b 5.867
_cell_length_c 4.542
_cell_angle_alpha 90.00
_cell_angle_beta 90.00
_cell_angle_gamma 90.00
_space_group_name_H-M_alt 'P 4/m b m'
_space_group_IT_number 127
_space_group_name_Hall '-P 4 2ab'
loop_
_atom_site_label
_atom_site_type_symbol
_atom_site_fract_x
_atom_site_fract_y
_atom_site_fract_z
Ni1 Ni 0.000 0.000 0.000
Hg1 Hg 0.185 0.315 0.500
O1 O 0.217 0.283 0.000
```